Density functional theory data (PBE) for a geometry-optimized VZn2SnIr structure.

The structure in CIF format:
```
data_VZn2SnIr
_chemical_formula_sum 'V1 Zn2 Sn1 Ir1'
_cell_length_a 4.747
_cell_length_b 4.747
_cell_length_c 5.004
_cell_angle_alpha 90.00
_cell_angle_beta 90.00
_cell_angle_gamma 90.00
_symmetry_space_group_name_H-M 'P 1'
_symmetry_Int_Tables_number 1
_symmetry_space_group_name_Hall 'P 1'
loop_
_atom_site_label
_atom_site_fract_x
_atom_site_fract_y
_atom_site_fract_z
Zn1 0.500 0.000 0.000
Sn1 0.000 0.000 0.500
Zn2 0.000 0.500 0.000
Ir1 0.000 0.000 0.000
V1 0.500 0.500 0.500
```

Properties
total moment	0.18	μB per formula unit
E	-4.116	eV/atom
DOS at the Fermi energy	1.782	states/eV per atom
crystal system	tetragonal

=====

Density functional theory data (PBE) for a geometry-optimized SrPO4 structure.

The structure in CIF format:
```
data_SrPO4
_chemical_formula_sum 'Sr4 P4 O16'
_cell_length_a 7.037
_cell_length_b 7.330
_cell_length_c 7.363
_cell_angle_alpha 98.92
_cell_angle_beta 99.45
_cell_angle_gamma 91.28
_symmetry_space_group_name_H-M 'P 1'
_symmetry_Int_Tables_number 1
_symmetry_space_group_name_Hall 'P 1'
loop_
_atom_site_label
_atom_site_fract_x
_atom_site_fract_y
_atom_site_fract_z
O1 0.914 0.524 0.737
O2 0.082 0.134 0.225
Sr1 0.146 0.822 0.336
O3 0.200 0.696 0.655
O4 0.524 0.025 0.723
O5 0.806 0.873 0.411
O6 0.918 0.866 0.775
O7 0.153 0.723 0.990
O8 0.638 0.724 0.093
Sr2 0.571 0.684 0.747
O9 0.362 0.276 0.907
Sr3 0.429 0.316 0.253
O10 0.476 0.975 0.277
O11 0.497 0.334 0.619
P1 0.051 0.699 0.786
P2 0.393 0.192 0.710
P3 0.949 0.301 0.214
P4 0.607 0.808 0.290
O12 0.086 0.476 0.263
O13 0.503 0.666 0.381
O14 0.800 0.304 0.345
O15 0.847 0.277 0.010
Sr4 0.854 0.178 0.664
O16 0.194 0.127 0.589
```

Properties
total moment	1.02	μB per formula unit
E	-6.892	eV/atom
DOS at the Fermi energy	0.586	states/eV per atom
formation energy without anion corrections	-55.460	kcal/mol of atoms
crystal system	triclinic